(1)
{
  "formula": "ZrCuOs2",
  "functional": "PBE",
  "state": "optimized geometry",
  "dft_energy_ev_per_atom": -8.49,
  "m_tot_mub_per_cell": 0.009,
  "delta_e_f_ev_per_atom": 0.19,
  "cell": [[1.954, -0.865, 3.906], [-2.401, -1.627, 3.379], [0.578, -4.215, 1.315]],
  "species": ["Os", "Os", "Cu", "Zr"],
  "fractional_positions": [[0.750, 0.750, 0.750], [0.000, 0.000, 0.000], [0.250, 0.250, 0.250], [0.500, 0.500, 0.500]]
}


(2)
{
  "formula": "Zr2CuOs",
  "functional": "PBE",
  "state": "optimized geometry",
  "dft_energy_ev_per_atom": -8.33,
  "m_tot_mub_per_cell": 0.006,
  "delta_e_f_ev_per_atom": -0.32,
  "cell": [[6.232, 0.000, 0.000], [0.000, 6.553, 0.000], [0.000, 0.000, 6.834]],
  "species": ["Os", "Os", "Os", "Os", "Cu", "Cu", "Cu", "Cu", "Zr", "Zr", "Zr", "Zr", "Zr", "Zr", "Zr", "Zr"],
  "fractional_positions": [[0.000, 0.750, 0.500], [0.500, 0.750, 0.000], [0.500, 0.250, 0.000], [0.000, 0.250, 0.500], [0.000, 0.750, 0.000], [0.000, 0.250, 0.000], [0.500, 0.250, 0.500], [0.500, 0.750, 0.500], [0.750, 0.500, 0.750], [0.750, 0.000, 0.250], [0.750, 0.000, 0.750], [0.250, 0.000, 0.250], [0.250, 0.500, 0.250], [0.250, 0.500, 0.750], [0.250, 0.000, 0.750], [0.750, 0.500, 0.250]]
}